# PBr3

A relaxed structure of PBr3 (PBE, Alexandria).

Magnetization, μB per atom: 0.000
DOS(E_F), states/eV per cell: 0.77

Unit cell a=5.072 b=5.072 c=5.072 alpha=60.00 beta=60.00 gamma=60.00
Fractional coordinates of all 4 atoms:
1 P 0.000 0.000 0.000
2 Br 0.250 0.250 0.250
3 Br 0.500 0.500 0.500
4 Br 0.750 0.750 0.750

# P5Br

A relaxed structure of P5Br (PBE, Alexandria).

Magnetization, μB per atom: 0.000
Distance to the lowest polymorph of the same formula, meV/atom: 0
DOS(E_F), states/eV per cell: 1.36

Unit cell a=3.567 b=3.567 c=10.873 alpha=99.88 beta=99.88 gamma=58.35
Fractional coordinates of all 6 atoms:
1 P 0.000 0.000 0.000
2 P 0.109 0.109 0.381
3 P 0.353 0.353 0.110
4 P 0.505 0.505 0.499
5 P 0.769 0.769 0.254
6 Br 0.748 0.748 0.684

# PBr7

A relaxed structure of PBr7 (PBE, Alexandria).

Magnetization, μB per atom: 0.000

Unit cell a=10.924 b=8.711 c=14.376 alpha=90.00 beta=90.00 gamma=90.00
Fractional coordinates of all 32 atoms:
1 P 0.126 0.250 0.146
2 P 0.374 0.750 0.646
3 P 0.626 0.250 0.354
4 P 0.874 0.750 0.854
5 Br 0.060 0.750 0.911
6 Br 0.070 0.750 0.393
7 Br 0.118 0.250 0.298
8 Br 0.159 0.250 0.518
9 Br 0.220 0.042 0.097
10 Br 0.220 0.458 0.097
11 Br 0.230 0.250 0.822
12 Br 0.270 0.750 0.322
13 Br 0.280 0.542 0.597
14 Br 0.280 0.958 0.597
15 Br 0.341 0.750 0.018
16 Br 0.382 0.750 0.798
17 Br 0.430 0.250 0.893
18 Br 0.440 0.250 0.411
19 Br 0.560 0.750 0.589
20 Br 0.570 0.750 0.107
21 Br 0.618 0.250 0.202
22 Br 0.659 0.250 0.982
23 Br 0.720 0.042 0.403
24 Br 0.720 0.458 0.403
25 Br 0.730 0.250 0.678
26 Br 0.770 0.750 0.178
27 Br 0.780 0.542 0.903
28 Br 0.780 0.958 0.903
29 Br 0.841 0.750 0.482
30 Br 0.882 0.750 0.702
31 Br 0.930 0.250 0.607
32 Br 0.940 0.250 0.089

Number 1: formation energy from raw total energies 3.15 eV per formula unit. Number 2: formation energy from raw total energies 1.09 eV per formula unit. Number 3: formation energy from raw total energies -1.81 eV per formula unit.